## InTc2Os (PBE)

Data for a relaxed structure of InTc2Os.

**Magnetic moment**: 0.280 μB/f.u.

Structure (CIF):
```
data_InTc2Os
_chemical_formula_sum 'In4 Tc8 Os4'
_cell_length_a 6.3207
_cell_length_b 6.3207
_cell_length_c 6.3207
_cell_angle_alpha 90.00
_cell_angle_beta 90.00
_cell_angle_gamma 90.00
_symmetry_space_group_name_H-M 'F -4 3 m'
_symmetry_Int_Tables_number 216
_symmetry_space_group_name_Hall 'F -4 2 3'
loop_
_atom_site_label
_atom_site_fract_x
_atom_site_fract_y
_atom_site_fract_z
_atom_site_occupancy
In1 0.0000 0.0000 0.0000 1
Tc1 0.0000 0.0000 0.5000 1
Tc2 0.2500 0.2500 0.7500 1
Os1 0.2500 0.2500 0.2500 1
```

---

## NaLiU (PBE)

Data for a relaxed structure of NaLiU.

**Polymorph energy (0 for the lowest one)**: 0 kJ/mol of formula units
**Magnetic moment**: 4.822 μB/f.u.

Structure (CIF):
```
data_NaLiU
_chemical_formula_sum 'Na4 Li4 U4'
_cell_length_a 7.0264
_cell_length_b 7.0264
_cell_length_c 7.0264
_cell_angle_alpha 90.00
_cell_angle_beta 90.00
_cell_angle_gamma 90.00
_symmetry_space_group_name_H-M 'F -4 3 m'
_symmetry_Int_Tables_number 216
_symmetry_space_group_name_Hall 'F -4 2 3'
loop_
_atom_site_label
_atom_site_fract_x
_atom_site_fract_y
_atom_site_fract_z
_atom_site_occupancy
Na1 0.0000 0.0000 0.0000 1
Li1 0.2500 0.2500 0.2500 1
U1 0.0000 0.0000 0.5000 1
```

---

| no. | VASP energy (eV per cell) |
| --- | --- |
| 1 | -131.59 |
| 2 | -41.28 |